1.
## Mg2Sc2Ag (PBE)

Data for Mg2Sc2Ag after structural relaxation.

Results
D(E_F): 16.25 states/eV per cell
E: -36.89 eV for the cell shown
ρ: 3.59 Mg/m³
Energy of formation from the pure elements: 0.052 eV/atom
Crystal system: tetragonal
Excess energy over the best structure of this formula in the dataset: 171.5 meV per atom

abc: 6.9522 6.9522 4.7193
angles: 90.00 90.00 90.00
Closest atoms and distances in Å follow each position.
Element x y z (fractional)
Mg 0.1411 0.3589 0.0000  2 Ag 2.68, 1 Mg 2.77
Mg 0.3589 0.8589 0.0000  2 Ag 2.68, 1 Mg 2.77
Mg 0.6411 0.1411 0.0000  2 Ag 2.68, 1 Mg 2.77
Mg 0.8589 0.6411 0.0000  2 Ag 2.68, 1 Mg 2.77
Sc 0.1659 0.6659 0.5000  6 Mg 3.03-3.19, 1 Sc 3.26
Sc 0.3341 0.1659 0.5000  6 Mg 3.03-3.19, 1 Sc 3.26
Sc 0.6659 0.8341 0.5000  6 Mg 3.03-3.19, 1 Sc 3.26
Sc 0.8341 0.3341 0.5000  6 Mg 3.03-3.19, 1 Sc 3.26
Ag 0.0000 0.0000 0.0000  4 Mg 2.68
Ag 0.5000 0.5000 0.0000  4 Mg 2.68


2.
## Zn2InC2 (PBE)

Data for Zn2InC2 after structural relaxation.

Results
D(E_F): 0.92 states/eV per cell
E: -18.64 eV for the cell shown
ρ: 6.27 Mg/m³
Energy of formation from the pure elements: 1.019 eV/atom
Crystal system: tetragonal
Excess energy over the best structure of this formula in the dataset: 0.0 meV per atom

abc: 5.2154 5.2154 5.2154
angles: 134.35 134.35 66.54
Closest atoms and distances in Å follow each position.
Element x y z (fractional)
Zn 0.2500 0.7500 0.5000  4 C 2.52
Zn 0.7500 0.2500 0.5000  4 C 2.52
In 0.0000 0.0000 0.0000  8 C 2.94, 8 Zn 2.97
C 0.4215 0.4215 0.0000  1 C 1.37
C 0.5785 0.5785 0.0000  1 C 1.37